Record 1
Th3FeHg | the Alexandria database | PBE-GGA | relaxed; uncorrected energy = -6.2814 eV per atom; relative energy among the computed polymorphs = 68 meV/atom; E_form = -0.08 eV/atom
1.0
8.6912 0.0000 0.0000
0.0000 3.9586 0.0000
-2.5835 0.0000 8.4483
Th Fe Hg
6 2 2
Cartesian
-0.5301 0.9897 2.6929
0.3499 0.9897 8.0485
1.6102 2.9690 5.3098
4.4974 0.9897 3.1385
5.7578 2.9690 0.3998
6.6377 2.9690 5.7554
-0.1904 0.9897 5.5370
6.2980 2.9690 2.9112
2.0383 2.9690 1.9916
4.0693 0.9897 6.4567

---

Record 2
Th6FeHg | the Alexandria database | PBE-GGA | relaxed; uncorrected energy = -6.6163 eV per atom; E_form = 0.04 eV/atom
1.0
4.9139 2.8370 2.8835
-4.9139 2.8370 2.8835
0.0000 -5.6741 2.8835
Th Fe Hg
6 1 1
Cartesian
0.0000 -2.1996 2.9070
-1.9049 1.0998 2.9070
-1.9049 -1.0998 5.7434
1.9049 1.0998 2.9070
1.9049 -1.0998 5.7434
0.0000 2.1996 5.7434
0.0000 0.0000 4.3252
0.0000 0.0000 0.0000

---

Record 3
Th4FeHg2 | the Alexandria database | PBE-GGA | relaxed; uncorrected energy = -5.6750 eV per atom; E_form = -0.14 eV/atom
1.0
5.7361 -2.2948 0.0000
5.7361 2.2948 0.0000
-3.6403 0.0000 7.4213
Th Fe Hg
4 1 2
Cartesian
-0.4750 0.0000 2.4708
0.3668 0.0000 7.0213
7.4651 0.0000 0.4000
8.3068 0.0000 4.9505
0.0000 0.0000 0.0000
2.7938 0.0000 2.6257
5.0381 0.0000 4.7957

---

Record 4
Ti2Fe2Hg | the Alexandria database | PBE-GGA | relaxed; uncorrected energy = -6.4383 eV per atom; relative energy among the computed polymorphs = 209 meV/atom; E_form = 0.17 eV/atom
1.0
-1.7072 1.7072 7.1936
1.7072 -1.7072 7.1936
1.7072 1.7072 -7.1936
Ti Fe Hg
2 2 1
Cartesian
0.0000 0.0000 1.7934
0.0000 0.0000 12.5938
1.7072 0.0000 3.5968
0.0000 1.7072 3.5968
0.0000 0.0000 7.1936

---

Record 5
TiFe2Hg2 | the Alexandria database | PBE-GGA | relaxed; uncorrected energy = -4.6591 eV per atom; E_form = 0.43 eV/atom
1.0
-1.6423 1.6423 8.2216
1.6423 -1.6423 8.2216
1.6423 1.6423 -8.2216
Ti Fe Hg
1 2 2
Cartesian
0.0000 0.0000 0.0000
1.6423 0.0000 4.1108
0.0000 1.6423 4.1108
0.0000 0.0000 6.3855
0.0000 0.0000 10.0578

---

Record 6
TiFeHg2 | the Alexandria database | PBE-GGA | relaxed; uncorrected energy = -3.7194 eV per atom; relative energy among the computed polymorphs = 132 meV/atom; E_form = 0.52 eV/atom
1.0
-3.7423 3.7423 2.8462
3.7423 -3.7423 2.8462
3.7423 3.7423 -2.8462
Ti Fe Hg
2 2 4
Cartesian
0.0000 0.0000 0.0000
0.0000 3.7423 1.4231
3.7423 0.0000 1.4231
0.0000 0.0000 2.8462
1.8711 -1.7340 2.1347
2.0082 1.8711 0.7116
1.8711 5.4763 -0.7116
1.7340 1.8711 3.5578

---

Record 7
TiFeHg2 | the Alexandria database | PBE-GGA | relaxed; uncorrected energy = -3.8516 eV per atom; relative energy among the computed polymorphs = 0 meV/atom; E_form = 0.39 eV/atom
1.0
0.0000 3.2379 3.2379
3.2379 0.0000 3.2379
3.2379 3.2379 0.0000
Ti Fe Hg
1 1 2
Cartesian
0.0000 0.0000 0.0000
3.2379 3.2379 3.2379
1.6189 1.6189 1.6189
4.8568 4.8568 4.8568

---

Record 8
TiFe4Hg | the Alexandria database | PBE-GGA | relaxed; uncorrected energy = -7.0237 eV per atom; E_form = -0.02 eV/atom
1.0
0.0000 3.4355 3.4355
3.4355 0.0000 3.4355
3.4355 3.4355 0.0000
Ti Fe Hg
1 4 1
Cartesian
0.0000 0.0000 0.0000
2.5765 2.5765 2.5765
4.2946 4.2946 2.5765
4.2946 2.5765 4.2946
2.5765 4.2946 4.2946
5.1533 5.1533 5.1533